(1)
DFT (GGA-PBE) results for an optimized crystal structure of LaCo2CuBr.

Output
* E_form (uncorrected): 2.144 eV per formula unit
* spin magnetization: 3.1 μB/f.u.
* final energy: -4.55 eV/atom

```
data_LaCo2CuBr
_cell_length_a 4.534
_cell_length_b 4.534
_cell_length_c 5.008
_cell_angle_alpha 90.00
_cell_angle_beta 90.00
_cell_angle_gamma 90.00
_space_group_name_H-M_alt 'P 4/m m m'
_space_group_IT_number 123
_space_group_name_Hall '-P 4 2'
loop_
_atom_site_label
_atom_site_fract_x
_atom_site_fract_y
_atom_site_fract_z
La1 0.000 0.000 0.000
Co1 0.000 0.500 0.500
Cu1 0.500 0.500 0.500
Br1 0.500 0.500 0.000
```

(2)
DFT (GGA-PBE) results for an optimized crystal structure of La2CoCuBr.

Output
* E_form (uncorrected): 2.253 eV per formula unit
* spin magnetization: 0.4 μB/f.u.
* final energy: -4.10 eV/atom

```
data_La2CoCuBr
_cell_length_a 5.562
_cell_length_b 5.562
_cell_length_c 4.699
_cell_angle_alpha 90.00
_cell_angle_beta 90.00
_cell_angle_gamma 90.00
_space_group_name_H-M_alt 'P 4/m m m'
_space_group_IT_number 123
_space_group_name_Hall '-P 4 2'
loop_
_atom_site_label
_atom_site_fract_x
_atom_site_fract_y
_atom_site_fract_z
La1 0.000 0.500 0.000
Co1 0.000 0.000 0.500
Cu1 0.500 0.500 0.000
Br1 0.500 0.500 0.500
```

no.,DOS(E_F) (states/eV per cell)
1,11.6
2,6.5